Record 1
# PBE-GGA SmCuTeS, optimized geometry
# * excess energy over the best structure of this formula in the dataset: 0.000 kcal/mol of atoms
# * raw formation energy: -1198 meV/atom
# * N(E_F): 0.051 states/eV/atom
data_SmCuTeS
_symmetry_space_group_name_H-M 'P b c a'
_symmetry_Int_Tables_number 61
_symmetry_space_group_name_Hall '-P 2ac 2ab'
_cell_length_a 7.575
_cell_length_b 7.614
_cell_length_c 12.724
_cell_angle_alpha 90.00
_cell_angle_beta 90.00
_cell_angle_gamma 90.00
loop_
_atom_site_label
_atom_site_type_symbol
_atom_site_fract_x
_atom_site_fract_y
_atom_site_fract_z
_atom_site_occupancy
Sm1 Sm 0.021 0.240 0.068 1
Cu1 Cu 0.164 0.072 0.293 1
Te1 Te 0.114 0.722 0.695 1
S1 S 0.240 0.002 0.463 1

***

Record 2
# PBE-GGA CaDy5Al3, optimized geometry
# * N(E_F): 0.783 states/eV/atom
# * ΔE_f: -0.26 eV per atom
data_CaDy5Al3
_symmetry_space_group_name_H-M 'P 63/m c m'
_symmetry_Int_Tables_number 193
_symmetry_space_group_name_Hall '-P 6c 2'
_cell_length_a 9.1096
_cell_length_b 9.1096
_cell_length_c 6.6504
_cell_angle_alpha 90.00
_cell_angle_beta 90.00
_cell_angle_gamma 120.00
loop_
_atom_site_label
_atom_site_type_symbol
_atom_site_fract_x
_atom_site_fract_y
_atom_site_fract_z
_atom_site_occupancy
Ca1 Ca 0.0000 0.0000 0.0000 1
Dy1 Dy 0.0000 0.3324 0.2500 1
Dy2 Dy 0.3333 0.6667 0.0000 1
Al1 Al 0.0000 0.3375 0.7500 1

***

Record 3
# PBE-GGA MoP4Pt, optimized geometry
# * N(E_F): 0.545 states/eV/atom
# * ΔE_f: 0.64 eV per atom
data_MoP4Pt
_symmetry_space_group_name_H-M 'F -4 3 m'
_symmetry_Int_Tables_number 216
_symmetry_space_group_name_Hall 'F -4 2 3'
_cell_length_a 7.003
_cell_length_b 7.003
_cell_length_c 7.003
_cell_angle_alpha 90.00
_cell_angle_beta 90.00
_cell_angle_gamma 90.00
loop_
_atom_site_label
_atom_site_type_symbol
_atom_site_fract_x
_atom_site_fract_y
_atom_site_fract_z
_atom_site_occupancy
Mo1 Mo 0.000 0.000 0.000 1
P1 P 0.125 0.125 0.625 1
Pt1 Pt 0.250 0.250 0.250 1

***

Record 4
# PBE-GGA LiLaSb, optimized geometry
# * excess energy over the best structure of this formula in the dataset: 9.720 kcal/mol of atoms
# * raw formation energy: -508 meV/atom
# * N(E_F): 0.346 states/eV/atom
data_LiLaSb
_symmetry_space_group_name_H-M 'F m m 2'
_symmetry_Int_Tables_number 42
_symmetry_space_group_name_Hall 'F 2 -2'
_cell_length_a 5.115
_cell_length_b 6.062
_cell_length_c 10.818
_cell_angle_alpha 90.00
_cell_angle_beta 90.00
_cell_angle_gamma 90.00
loop_
_atom_site_label
_atom_site_type_symbol
_atom_site_fract_x
_atom_site_fract_y
_atom_site_fract_z
_atom_site_occupancy
Li1 Li 0.000 0.000 0.000 1
La1 La 0.000 0.000 0.709 1
Sb1 Sb 0.000 0.000 0.391 1

***

Record 5
# PBE-GGA CsLiAu2, optimized geometry
# * excess energy over the best structure of this formula in the dataset: 0.000 kcal/mol of atoms
# * N(E_F): 0.085 states/eV/atom
# * ΔE_f: -0.38 eV per atom
data_CsLiAu2
_symmetry_space_group_name_H-M 'R -3 m'
_symmetry_Int_Tables_number 166
_symmetry_space_group_name_Hall '-R 3 2"'
_cell_length_a 4.6769
_cell_length_b 4.6769
_cell_length_c 19.3984
_cell_angle_alpha 90.00
_cell_angle_beta 90.00
_cell_angle_gamma 120.00
loop_
_atom_site_label
_atom_site_type_symbol
_atom_site_fract_x
_atom_site_fract_y
_atom_site_fract_z
_atom_site_occupancy
Cs1 Cs 0.0000 0.0000 0.0000 1
Li1 Li 0.0000 0.0000 0.5000 1
Au1 Au 0.0000 0.0000 0.1921 1

***

Record 6
# PBE-GGA Sc2H4Se, optimized geometry
# * N(E_F): 0.076 states/eV/atom
# * raw total energy: -5.05 eV/atom
data_Sc2H4Se
_symmetry_space_group_name_H-M 'R -3 m'
_symmetry_Int_Tables_number 166
_symmetry_space_group_name_Hall '-R 3 2"'
_cell_length_a 3.4814
_cell_length_b 3.4814
_cell_length_c 20.2934
_cell_angle_alpha 90.00
_cell_angle_beta 90.00
_cell_angle_gamma 120.00
loop_
_atom_site_label
_atom_site_type_symbol
_atom_site_fract_x
_atom_site_fract_y
_atom_site_fract_z
_atom_site_occupancy
Sc1 Sc 0.0000 0.0000 0.2393 1
H1 H 0.0000 0.0000 0.1382 1
H2 H 0.0000 0.0000 0.4352 1
Se1 Se 0.0000 0.0000 0.0000 1